(1)
VASP calculation (GGA-PBE) on an optimized crystal structure of FeSi17Ge14.

Computed properties:
VASP energy (eV per cell): -162.76
Calculated density (g/cm3): 3.74

Lattice parameters (Å, degrees): 5.5747 3.9351 31.3708 90.00 90.06 90.00
With the nearest neighbours (Å) after each atom.
Atoms (fractional coordinates):
Fe 0.0000 0.0000 0.0000  1 Si 2.27, 3 Ge 2.33
Si 0.0013 0.0000 0.3796  3 Si 2.38, 1 Ge 2.43
Si 0.2425 0.5000 0.3793  3 Si 2.36-2.38, 1 Ge 2.41
Si 0.2508 0.5000 0.1292  1 Si 2.35, 3 Ge 2.41-2.42
Si 0.2520 0.5000 0.8792  1 Si 2.36, 3 Ge 2.41-2.42
Si 0.5014 0.5000 0.1895  3 Si 2.35-2.37, 1 Ge 2.41
Si 0.5009 0.5000 0.4389  3 Si 2.36-2.38, 1 Ge 2.41
Si 0.5014 0.5000 0.6910  2 Si 2.37, 2 Ge 2.40-2.41
Si 0.5021 0.5000 0.9400  3 Si 2.36-2.39, 1 Ge 2.44
Si 0.7392 0.0000 0.1906  3 Si 2.36-2.37, 1 Ge 2.43
Si 0.7399 0.0000 0.6913  3 Si 2.37, 1 Ge 2.42
Si 0.7423 0.0000 0.4397  4 Si 2.37-2.38
Si 0.7445 0.0000 0.9436  1 Fe 2.27, 2 Si 2.39, 1 Ge 2.47
Si 0.7505 0.0000 0.8148  1 Si 2.37, 3 Ge 2.42-2.45
Si 0.7518 0.0000 0.5636  1 Si 2.36, 3 Ge 2.41-2.42
Si 0.9894 0.0000 0.5012  2 Si 2.36-2.37, 2 Ge 2.42
Si 0.9893 0.0000 0.7524  2 Si 2.37, 2 Ge 2.41
Si 0.9906 0.0000 0.2511  1 Si 2.36, 3 Ge 2.41-2.42
Ge 0.9999 0.0000 0.1287  3 Si 2.41-2.43, 1 Ge 2.52
Ge 0.2241 0.5000 0.0002  2 Fe 2.33, 1 Si 2.44, 1 Ge 2.50
Ge 0.2399 0.5000 0.7520  3 Si 2.41, 1 Ge 2.47
Ge 0.2412 0.5000 0.2509  3 Si 2.41, 1 Ge 2.47
Ge 0.2413 0.5000 0.5004  3 Si 2.41-2.42, 1 Ge 2.47
Ge 0.2517 0.5000 0.6287  1 Si 2.40, 3 Ge 2.45-2.46
Ge 0.4878 0.5000 0.0647  1 Si 2.42, 3 Ge 2.49-2.50
Ge 0.4897 0.5000 0.3162  1 Si 2.41, 3 Ge 2.46-2.47
Ge 0.4987 0.5000 0.8160  3 Si 2.41-2.42, 1 Ge 2.47
Ge 0.5016 0.5000 0.5641  2 Si 2.41, 2 Ge 2.46-2.47
Ge 0.7546 0.0000 0.3159  2 Si 2.42-2.43, 2 Ge 2.46
Ge 0.7591 0.0000 0.0606  1 Fe 2.33, 3 Ge 2.49-2.52
Ge 0.9893 0.0000 0.6281  2 Si 2.42, 2 Ge 2.45
Ge 0.9982 0.0000 0.8792  4 Si 2.42-2.47

(2)
VASP calculation (GGA-PBE) on an optimized crystal structure of HfSc2In.

Computed properties:
VASP energy (eV per cell): -101.99
Calculated density (g/cm3): 7.12

Lattice parameters (Å, degrees): 7.0985 7.0985 7.0985 90.00 90.00 90.00
With the nearest neighbours (Å) after each atom.
Atoms (fractional coordinates):
Hf 0.0000 0.0000 0.0000  4 In 3.07, 4 Sc 3.07
Hf 0.0000 0.5000 0.5000  4 In 3.07, 4 Sc 3.07
Hf 0.5000 0.0000 0.5000  4 In 3.07, 4 Sc 3.07
Hf 0.5000 0.5000 0.0000  4 In 3.07, 4 Sc 3.07
Sc 0.0000 0.0000 0.5000  4 Sc 3.07, 4 In 3.07
Sc 0.0000 0.5000 0.0000  4 Sc 3.07, 4 In 3.07
Sc 0.2500 0.2500 0.2500  4 Hf 3.07, 4 Sc 3.07
Sc 0.2500 0.7500 0.7500  4 Hf 3.07, 4 Sc 3.07
Sc 0.5000 0.0000 0.0000  4 Sc 3.07, 4 In 3.07
Sc 0.5000 0.5000 0.5000  4 Sc 3.07, 4 In 3.07
Sc 0.7500 0.2500 0.7500  4 Hf 3.07, 4 Sc 3.07
Sc 0.7500 0.7500 0.2500  4 Hf 3.07, 4 Sc 3.07
In 0.2500 0.2500 0.7500  4 Hf 3.07, 4 Sc 3.07
In 0.2500 0.7500 0.2500  4 Hf 3.07, 4 Sc 3.07
In 0.7500 0.2500 0.2500  4 Hf 3.07, 4 Sc 3.07
In 0.7500 0.7500 0.7500  4 Hf 3.07, 4 Sc 3.07